SiTeAu: relaxed, PBE.

Calculated total energy = -3.88 eV/atom
Crystal system = trigonal
Calculated volume = 65.3 Å³ per cell
Total moment = 0.00 μB/f.u.
DOS(E_F) = 0.48 states/eV/atom
Energy above the most stable polymorph in this dataset = 87 meV/atom
Formation energy (no corrections) = 63 meV/atom

a = 3.8643 Å, b = 3.8643 Å, c = 5.0519 Å
α = 90.00°, β = 90.00°, γ = 120.00°
Space group P3m1 (No. 156)
One atom of each set of equivalent atoms:
Si 0.0000 0.0000 0.0000 [1 per cell]
Te 0.3333 0.6667 0.3417 [1 per cell]
Au 0.6667 0.3333 0.7387 [1 per cell]


SiTeAu: relaxed, PBE.

Calculated total energy = -3.59 eV/atom
Crystal system = tetragonal
Calculated volume = 132.3 Å³ per cell
Total moment = 0.00 μB/f.u.
DOS(E_F) = 0.34 states/eV/atom
Energy above the most stable polymorph in this dataset = 380 meV/atom
Formation energy (no corrections) = 356 meV/atom

a = 3.210 Å, b = 3.210 Å, c = 12.843 Å
α = 90.00°, β = 90.00°, γ = 90.00°
Space group I4mm (No. 107)
One atom of each set of equivalent atoms:
Si 0.000 0.000 0.000 [2 per cell]
Te 0.000 0.000 0.305 [2 per cell]
Au 0.000 0.000 0.604 [2 per cell]


SiTe3Au: relaxed, PBE.

Calculated total energy = -2.84 eV/atom
Crystal system = cubic
Calculated volume = 158.8 Å³ per cell
Total moment = 0.00 μB/f.u.
DOS(E_F) = 0.69 states/eV/atom
Energy above the most stable polymorph in this dataset = 691 meV/atom
Formation energy (no corrections) = 786 meV/atom

a = 5.415 Å, b = 5.415 Å, c = 5.415 Å
α = 90.00°, β = 90.00°, γ = 90.00°
Space group Pm-3m (No. 221)
One atom of each set of equivalent atoms:
Si 0.000 0.000 0.000 [1 per cell]
Te 0.000 0.500 0.500 [3 per cell]
Au 0.500 0.500 0.500 [1 per cell]


Si5Te3Au12: relaxed, PBE.

Calculated total energy = -3.65 eV/atom
Crystal system = cubic
Calculated volume = 3647.9 Å³ per cell
Total moment = 0.00 μB/f.u.
DOS(E_F) = 0.64 states/eV/atom
Formation energy (no corrections) = 147 meV/atom

a = 15.394 Å, b = 15.394 Å, c = 15.394 Å
α = 90.00°, β = 90.00°, γ = 90.00°
Space group Ia-3d (No. 230)
One atom of each set of equivalent atoms:
Si 0.000 0.000 0.000 [16 per cell]
Si 0.000 0.250 0.375 [24 per cell]
Te 0.000 0.250 0.125 [24 per cell]
Au 0.028 0.066 0.646 [96 per cell]


SiTeAu: relaxed, PBE.

Calculated total energy = -3.97 eV/atom
Crystal system = triclinic
Calculated volume = 160.3 Å³ per cell
Total moment = 0.00 μB/f.u.
DOS(E_F) = 0.27 states/eV/atom
Energy above the most stable polymorph in this dataset = 0 meV/atom
Formation energy (no corrections) = -24 meV/atom

a = 3.247 Å, b = 5.978 Å, c = 8.745 Å
α = 91.44°, β = 100.31°, γ = 105.70°
Space group P-1 (No. 2)
One atom of each set of equivalent atoms:
Si 0.004 0.399 0.113 [2 per cell]
Te 0.274 0.726 0.335 [2 per cell]
Au 0.376 0.101 0.155 [2 per cell]


SiTe4Au3: relaxed, PBE.

Calculated total energy = -3.52 eV/atom
Crystal system = orthorhombic
Calculated volume = 484.8 Å³ per cell
Total moment = 0.00 μB/f.u.
DOS(E_F) = 0.52 states/eV/atom
Formation energy (no corrections) = -40 meV/atom

a = 8.662 Å, b = 7.622 Å, c = 7.343 Å
α = 90.00°, β = 90.00°, γ = 90.00°
Space group Pmn2_1 (No. 31)
One atom of each set of equivalent atoms:
Si 0.000 0.170 0.000 [2 per cell]
Te 0.000 0.175 0.646 [2 per cell]
Te 0.000 0.853 0.123 [2 per cell]
Te 0.243 0.332 0.117 [4 per cell]
Au 0.000 0.848 0.495 [2 per cell]
Au 0.247 0.673 0.988 [4 per cell]


SiTeAu: relaxed, PBE.

Calculated total energy = -3.90 eV/atom
Crystal system = monoclinic
Calculated volume = 975.5 Å³ per cell
Total moment = 0.00 μB/f.u.
DOS(E_F) = 0.30 states/eV/atom
Energy above the most stable polymorph in this dataset = 74 meV/atom
Formation energy (no corrections) = 51 meV/atom

a = 19.983 Å, b = 5.021 Å, c = 12.319 Å
α = 90.00°, β = 127.89°, γ = 90.00°
Space group Cc (No. 9)
One atom of each set of equivalent atoms:
Si 0.000 0.040 0.000 [4 per cell]
Si 0.173 0.294 0.649 [4 per cell]
Si 0.338 0.368 0.077 [4 per cell]
Te 0.207 0.319 0.475 [4 per cell]
Te 0.362 0.205 0.301 [4 per cell]
Te 0.478 0.385 0.684 [4 per cell]
Au 0.019 0.425 0.478 [4 per cell]
Au 0.149 0.206 0.141 [4 per cell]
Au 0.261 0.088 0.880 [4 per cell]


SiTe3Au: relaxed, PBE.

Calculated total energy = -3.53 eV/atom
Crystal system = triclinic
Calculated volume = 274.1 Å³ per cell
Total moment = 0.00 μB/f.u.
DOS(E_F) = 0.59 states/eV/atom
Energy above the most stable polymorph in this dataset = 0 meV/atom
Formation energy (no corrections) = 94 meV/atom

a = 6.694 Å, b = 7.013 Å, c = 7.299 Å
α = 64.56°, β = 88.33°, γ = 64.50°
Space group P-1 (No. 2)
One atom of each set of equivalent atoms:
Si 0.158 0.193 0.488 [2 per cell]
Te 0.034 0.656 0.227 [2 per cell]
Te 0.247 0.723 0.699 [2 per cell]
Te 0.434 0.004 0.248 [2 per cell]
Au 0.357 0.771 0.047 [2 per cell]


> Look up the calculated volume of the sixth one.

484.8 Å³ per cell